# 1
Material: Y2ZrP
Method: DFT, GGA-PBE
State: relaxed

Output
- ΔE_f (eV per formula unit) = 0.08
- calculated density (g cm⁻³) = 5.5
- final energy (eV per atom) = -6.701

Geometry as POSCAR:
```
Y2ZrP
1.0
0.000 3.555 3.555
3.555 0.000 3.555
3.555 3.555 0.000
Y Zr P
2 1 1
direct
0.000 0.000 0.000
0.250 0.250 0.250
0.750 0.750 0.750
0.500 0.500 0.500
```


# 2
Material: CePm6Tm12
Method: DFT, GGA-PBE
State: relaxed

Output
- ΔE_f (eV per formula unit) = 4.16
- calculated density (g cm⁻³) = 8.1
- final energy (eV per atom) = -4.418

Geometry as POSCAR:
```
CePm6Tm12
1.0
6.578 3.798 4.143
-6.578 3.798 4.143
0.000 -7.595 4.143
Ce Pm Tm
1 6 12
direct
0.000 0.000 0.000
0.100 0.100 0.657
0.100 0.657 0.100
0.343 0.900 0.900
0.657 0.100 0.100
0.900 0.343 0.900
0.900 0.900 0.343
0.079 0.352 0.352
0.244 0.500 0.756
0.244 0.756 0.500
0.352 0.079 0.352
0.352 0.352 0.079
0.500 0.244 0.756
0.500 0.756 0.244
0.648 0.648 0.921
0.648 0.921 0.648
0.756 0.244 0.500
0.756 0.500 0.244
0.921 0.648 0.648
```


# 3
Material: Th2Be4ZnPt3
Method: DFT, GGA-PBE
State: relaxed

Output
- ΔE_f (eV per formula unit) = -6.91
- calculated density (g cm⁻³) = 11.8
- final energy (eV per atom) = -5.605

Geometry as POSCAR:
```
Th2Be4ZnPt3
1.0
4.114 0.000 0.000
0.000 4.114 0.000
0.000 0.000 9.577
Th Be Zn Pt
2 4 1 3
direct
0.000 0.500 0.248
0.500 0.000 0.752
0.000 0.000 0.000
0.000 0.500 0.629
0.500 0.000 0.371
0.500 0.500 0.000
0.000 0.000 0.500
0.000 0.500 0.879
0.500 0.000 0.121
0.500 0.500 0.500
```


# 4
Material: CoCuP2
Method: DFT, GGA-PBE
State: relaxed

Output
- ΔE_f (eV per formula unit) = -0.03
- calculated density (g cm⁻³) = 6.1
- final energy (eV per atom) = -5.513

Geometry as POSCAR:
```
CoCuP2
1.0
3.561 -1.427 0.000
3.561 1.427 0.000
-1.131 0.000 4.912
Co Cu P
1 1 2
direct
0.000 0.000 0.000
0.500 0.500 0.500
0.260 0.260 0.781
0.740 0.740 0.219
```


# 5
Material: LiUPb2
Method: DFT, GGA-PBE
State: relaxed

Output
- ΔE_f (eV per formula unit) = 0.19
- calculated density (g cm⁻³) = 10.5
- final energy (eV per atom) = -5.106

Geometry as POSCAR:
```
LiUPb2
1.0
5.758 0.000 0.000
0.000 5.758 0.000
0.000 0.000 3.156
Li U Pb
1 1 2
direct
0.000 0.000 0.000
0.500 0.500 0.000
0.000 0.500 0.500
0.500 0.000 0.500
```


# 6
Material: InTcNi2
Method: DFT, GGA-PBE
State: relaxed

Output
- ΔE_f (eV per formula unit) = 2.39
- calculated density (g cm⁻³) = 8.6
- final energy (eV per atom) = -5.569

Geometry as POSCAR:
```
InTcNi2
1.0
-1.930 1.930 8.567
1.930 -1.930 8.567
1.930 1.930 -8.567
In Tc Ni
2 2 4
direct
0.000 0.000 0.000
0.750 0.250 0.500
0.250 0.750 0.500
0.500 0.500 0.000
0.160 0.625 0.035
0.375 0.410 0.535
0.590 0.125 0.965
0.875 0.840 0.465
```


# 7
Material: CeAgHgF6
Method: DFT, GGA-PBE
State: relaxed

Output
- calculated density (g cm⁻³) = 5.7
- final energy (eV per atom) = -4.679
- E_form (uncorrected) (meV per atom) = -2422

Geometry as POSCAR:
```
CeAgHgF6
1.0
6.377 0.000 0.000
-3.188 5.523 0.000
0.000 0.000 9.258
Ce Ag Hg F
2 2 2 12
direct
0.333 0.667 0.250
0.667 0.333 0.750
0.000 0.000 0.000
0.000 0.000 0.500
0.333 0.667 0.750
0.667 0.333 0.250
0.032 0.363 0.127
0.032 0.669 0.373
0.331 0.363 0.373
0.331 0.968 0.127
0.363 0.032 0.627
0.363 0.331 0.873
0.637 0.669 0.127
0.637 0.968 0.373
0.669 0.032 0.873
0.669 0.637 0.627
0.968 0.331 0.627
0.968 0.637 0.873
```


# 8
Material: Nd2MgAlO6
Method: DFT, GGA-PBE
State: relaxed

Output
- calculated density (g cm⁻³) = 6.2
- final energy (eV per atom) = -7.397
- E_form (uncorrected) (meV per atom) = -2935

Geometry as POSCAR:
```
Nd2MgAlO6
1.0
5.438 0.000 0.000
0.000 5.585 0.000
-5.421 0.000 7.729
Nd Mg Al O
4 2 2 12
direct
0.235 0.051 0.249
0.235 0.449 0.749
0.765 0.551 0.251
0.765 0.949 0.751
0.000 0.000 0.500
0.000 0.500 0.000
0.500 0.000 0.000
0.500 0.500 0.500
0.176 0.201 0.957
0.176 0.299 0.457
0.255 0.722 0.954
0.255 0.778 0.454
0.343 0.022 0.760
0.343 0.478 0.260
0.657 0.522 0.740
0.657 0.978 0.240
0.745 0.222 0.546
0.745 0.278 0.046
0.824 0.701 0.543
0.824 0.799 0.043
```


- The highest calculated density belongs to which entry?
  Th2Be4ZnPt3


- calculated density of number 2 (CePm6Tm12)?
  8.1 g cm⁻³